Record 1
{
  "formula": "Pr3Dy6Er2Sc",
  "functional": "GGA-PBE",
  "state": "optimized geometry",
  "lattice": [[3.086, -5.344, 0.000], [3.086, 5.344, 0.000], [-2.056, 0.000, 11.590]],
  "species": ["Pr", "Pr", "Pr", "Dy", "Dy", "Dy", "Dy", "Dy", "Dy", "Er", "Er", "Sc"],
  "frac_coords": [[0.000, 0.000, 0.000], [0.333, 0.667, 0.000], [0.667, 0.333, 0.000], [0.089, 0.420, 0.258], [0.249, 0.249, 0.742], [0.420, 0.089, 0.258], [0.580, 0.911, 0.742], [0.751, 0.751, 0.258], [0.911, 0.580, 0.742], [0.167, 0.833, 0.500], [0.833, 0.167, 0.500], [0.500, 0.500, 0.500]],
  "dos_ef_per_ev_fu": 17.0,
  "magnetic_moment_mub_per_atom": 0.000,
  "delta_e_f_ev_per_fu": 0.4
}



Record 2
{
  "formula": "Ca2MgCr",
  "functional": "GGA-PBE",
  "state": "optimized geometry",
  "lattice": [[3.864, 0.000, 0.000], [0.000, 5.062, 0.000], [-1.917, 0.000, 6.229]],
  "species": ["Ca", "Ca", "Mg", "Cr"],
  "frac_coords": [[0.000, 0.000, 0.000], [0.311, 0.500, 0.624], [0.718, 0.000, 0.439], [0.591, 0.500, 0.183]],
  "dos_ef_per_ev_fu": 3.3,
  "magnetic_moment_mub_per_atom": 1.187,
  "delta_e_f_ev_per_fu": 1.3
}